# 1
Compound: Pa2MnH4
Source: Alexandria via LeMat-Bulk
Functional: PBE
Structure: optimized geometry

a b c (Å): 3.522 3.522 12.135
angles (deg): 90.00 90.00 90.00
Space group I4/mmm (No. 139)
Inequivalent atoms, fractional coordinates:
Pa 0.000 0.000 0.135
Mn 0.000 0.000 0.500
H 0.000 0.000 0.350
H 0.000 0.500 0.000

VASP energy	-84.79	eV/cell
size of the total moment	0.002	μB per atom
density of states at the Fermi level	0.94	states/eV per atom

# 2
Compound: Pa3Mn5H12
Source: Alexandria via LeMat-Bulk
Functional: PBE
Structure: optimized geometry

a b c (Å): 11.316 11.316 11.316
angles (deg): 90.00 90.00 90.00
Space group Ia-3d (No. 230)
Inequivalent atoms, fractional coordinates:
Pa 0.000 0.250 0.125
Mn 0.000 0.000 0.000
Mn 0.000 0.250 0.375
H 0.034 0.053 0.636

VASP energy	-929.17	eV/cell
size of the total moment	0.236	μB per atom
density of states at the Fermi level	0.64	states/eV per atom

# 3
Compound: PaMnH4
Source: Alexandria via LeMat-Bulk
Functional: PBE
Structure: optimized geometry

a b c (Å): 3.087 3.087 5.201
angles (deg): 90.00 90.00 90.00
Space group P4/mmm (No. 123)
Inequivalent atoms, fractional coordinates:
Pa 0.000 0.000 0.000
Mn 0.500 0.500 0.500
H 0.000 0.500 0.316

ΔE to the lowest computed polymorph	2.776	kcal/mol of atoms
size of the total moment	0.422	μB per atom
density of states at the Fermi level	0.58	states/eV per atom

# 4
Compound: PaMnH8Pd2
Source: Alexandria via LeMat-Bulk
Functional: PBE
Structure: optimized geometry

a b c (Å): 4.8180 4.8180 6.3092
angles (deg): 90.00 90.00 120.00
Space group P-3m1 (No. 164)
Inequivalent atoms, fractional coordinates:
Pa 0.0000 0.0000 0.0000
Mn 0.0000 0.0000 0.5000
H 0.1364 0.2728 0.3084
H 0.3333 0.6667 0.9537
Pd 0.3333 0.6667 0.2165

VASP energy	-55.92	eV/cell
size of the total moment	0.163	μB per atom
density of states at the Fermi level	0.11	states/eV per atom

# 5
Compound: PaTaMn2H6
Source: Alexandria via LeMat-Bulk
Functional: PBE
Structure: optimized geometry

a b c (Å): 4.3103 4.3103 15.6623
angles (deg): 90.00 90.00 120.00
Space group R-3m (No. 166, hexagonal axes)
Inequivalent atoms, fractional coordinates:
Pa 0.0000 0.0000 0.0000
Ta 0.0000 0.0000 0.5000
Mn 0.0000 0.0000 0.2126
H 0.0258 0.5129 0.0608

VASP energy	-187.53	eV/cell
size of the total moment	0.000	μB per atom
density of states at the Fermi level	0.23	states/eV per atom

# 6
Compound: PaMn2TcH6
Source: Alexandria via LeMat-Bulk
Functional: PBE
Structure: optimized geometry

a b c (Å): 4.4094 4.4094 14.5323
angles (deg): 90.00 90.00 120.00
Space group R-3m (No. 166, hexagonal axes)
Inequivalent atoms, fractional coordinates:
Pa 0.0000 0.0000 0.0000
Mn 0.0000 0.0000 0.1985
Tc 0.0000 0.0000 0.5000
H 0.0226 0.5113 0.0665

VASP energy	-179.10	eV/cell
size of the total moment	0.321	μB per atom
density of states at the Fermi level	0.44	states/eV per atom

# 7
Compound: MnHPb3
Source: Alexandria via LeMat-Bulk
Functional: PBE
Structure: optimized geometry

a b c (Å): 5.066 5.066 5.066
angles (deg): 90.00 90.00 90.00
Space group Pm-3m (No. 221)
Inequivalent atoms, fractional coordinates:
Mn 0.000 0.000 0.000
H 0.500 0.500 0.500
Pb 0.000 0.000 0.500

ΔE to the lowest computed polymorph	2.067	kcal/mol of atoms
size of the total moment	0.000	μB per atom
density of states at the Fermi level	0.00	states/eV per atom

# 8
Compound: Mn2HPb
Source: Alexandria via LeMat-Bulk
Functional: PBE
Structure: optimized geometry

a b c (Å): 5.397 5.397 7.674
angles (deg): 90.00 90.00 90.00
Space group I4_1/amd (No. 141, origin choice 2)
Inequivalent atoms, fractional coordinates:
Mn 0.000 0.000 0.000
H 0.000 0.250 0.875
Pb 0.000 0.250 0.375

ΔE to the lowest computed polymorph	0.000	kcal/mol of atoms
size of the total moment	1.268	μB per atom
density of states at the Fermi level	0.76	states/eV per atom

# 9
Compound: Mn2HPb
Source: Alexandria via LeMat-Bulk
Functional: PBE
Structure: optimized geometry

a b c (Å): 6.375 6.375 6.375
angles (deg): 90.00 90.00 90.00
Space group Fm-3m (No. 225)
Inequivalent atoms, fractional coordinates:
Mn 0.250 0.250 0.250
H 0.000 0.000 0.000
Pb 0.000 0.000 0.500

ΔE to the lowest computed polymorph	12.865	kcal/mol of atoms
size of the total moment	1.816	μB per atom
density of states at the Fermi level	1.09	states/eV per atom

# 10
Compound: MnH2Pb
Source: Alexandria via LeMat-Bulk
Functional: PBE
Structure: optimized geometry

a b c (Å): 4.889 4.889 9.172
angles (deg): 90.00 90.00 90.00
Space group I-42d (No. 122)
Inequivalent atoms, fractional coordinates:
Mn 0.000 0.000 0.000
H 0.040 0.250 0.125
Pb 0.000 0.000 0.500

ΔE to the lowest computed polymorph	0.000	kcal/mol of atoms
size of the total moment	0.864	μB per atom
density of states at the Fermi level	0.40	states/eV per atom

# 11
Compound: MnH2Pb
Source: Alexandria via LeMat-Bulk
Functional: PBE
Structure: optimized geometry

a b c (Å): 5.962 5.962 5.962
angles (deg): 90.00 90.00 90.00
Space group Fm-3m (No. 225)
Inequivalent atoms, fractional coordinates:
Mn 0.000 0.000 0.000
H 0.250 0.250 0.250
Pb 0.000 0.000 0.500

ΔE to the lowest computed polymorph	12.357	kcal/mol of atoms
size of the total moment	1.037	μB per atom
density of states at the Fermi level	0.42	states/eV per atom

# 12
Compound: MnHPb3
Source: Alexandria via LeMat-Bulk
Functional: PBE
Structure: optimized geometry

a b c (Å): 4.862 4.862 4.862
angles (deg): 90.00 90.00 90.00
Space group Pm-3m (No. 221)
Inequivalent atoms, fractional coordinates:
Mn 0.000 0.000 0.000
H 0.500 0.500 0.500
Pb 0.000 0.500 0.500

ΔE to the lowest computed polymorph	0.000	kcal/mol of atoms
size of the total moment	0.823	μB per atom
density of states at the Fermi level	0.49	states/eV per atom

# 13
Compound: MnHPd2Pb
Source: Alexandria via LeMat-Bulk
Functional: PBE
Structure: optimized geometry

a b c (Å): 4.130 4.130 4.189
angles (deg): 90.00 90.00 90.00
Space group P4/mmm (No. 123)
Inequivalent atoms, fractional coordinates:
Mn 0.000 0.000 0.000
H 0.000 0.000 0.500
Pd 0.000 0.500 0.500
Pb 0.500 0.500 0.000

VASP energy	-26.82	eV/cell
size of the total moment	0.700	μB per atom
density of states at the Fermi level	0.67	states/eV per atom

# 14
Compound: MnHRh2Pb
Source: Alexandria via LeMat-Bulk
Functional: PBE
Structure: optimized geometry

a b c (Å): 4.153 4.153 3.909
angles (deg): 90.00 90.00 90.00
Space group P4/mmm (No. 123)
Inequivalent atoms, fractional coordinates:
Mn 0.000 0.000 0.000
H 0.000 0.000 0.500
Rh 0.000 0.500 0.500
Pb 0.500 0.500 0.000

VASP energy	-31.26	eV/cell
size of the total moment	0.827	μB per atom
density of states at the Fermi level	0.26	states/eV per atom

# 15
Compound: Sc2MnHPb
Source: Alexandria via LeMat-Bulk
Functional: PBE
Structure: optimized geometry

a b c (Å): 4.511 4.511 4.081
angles (deg): 90.00 90.00 90.00
Space group P4/mmm (No. 123)
Inequivalent atoms, fractional coordinates:
Sc 0.000 0.500 0.000
Mn 0.000 0.000 0.500
H 0.000 0.000 0.000
Pb 0.500 0.500 0.500

VASP energy	-30.14	eV/cell
size of the total moment	0.466	μB per atom
density of states at the Fermi level	0.56	states/eV per atom

# 16
Compound: MnTcHPb2
Source: Alexandria via LeMat-Bulk
Functional: PBE
Structure: optimized geometry

a b c (Å): 4.798 4.798 3.432
angles (deg): 90.00 90.00 90.00
Space group P4/mmm (No. 123)
Inequivalent atoms, fractional coordinates:
Mn 0.000 0.000 0.000
Tc 0.500 0.500 0.000
H 0.500 0.500 0.500
Pb 0.000 0.500 0.500

VASP energy	-26.36	eV/cell
size of the total moment	0.006	μB per atom
density of states at the Fermi level	1.13	states/eV per atom

# 17
Compound: TiMn2HPb
Source: Alexandria via LeMat-Bulk
Functional: PBE
Structure: optimized geometry

a b c (Å): 5.180 5.180 5.481
angles (deg): 90.00 90.00 90.00
Space group P4/mmm (No. 123)
Inequivalent atoms, fractional coordinates:
Ti 0.000 0.000 0.000
Mn 0.000 0.500 0.500
H 0.500 0.500 0.000
Pb 0.000 0.000 0.500

VASP energy	-24.96	eV/cell
size of the total moment	1.389	μB per atom
density of states at the Fermi level	2.14	states/eV per atom

# 18
Compound: YMnHPb2
Source: Alexandria via LeMat-Bulk
Functional: PBE
Structure: optimized geometry

a b c (Å): 5.466 5.466 3.399
angles (deg): 90.00 90.00 90.00
Space group P4/mmm (No. 123)
Inequivalent atoms, fractional coordinates:
Y 0.000 0.000 0.000
Mn 0.500 0.500 0.500
H 0.500 0.500 0.000
Pb 0.000 0.500 0.500

VASP energy	-24.77	eV/cell
size of the total moment	0.000	μB per atom
density of states at the Fermi level	1.83	states/eV per atom

# 19
Compound: Zr2MnHPb
Source: Alexandria via LeMat-Bulk
Functional: PBE
Structure: optimized geometry

a b c (Å): 4.412 4.412 4.343
angles (deg): 90.00 90.00 90.00
Space group P4/mmm (No. 123)
Inequivalent atoms, fractional coordinates:
Zr 0.000 0.500 0.000
Mn 0.000 0.000 0.500
H 0.000 0.000 0.000
Pb 0.500 0.500 0.500

VASP energy	-34.04	eV/cell
size of the total moment	0.660	μB per atom
density of states at the Fermi level	0.70	states/eV per atom

# 20
Compound: MnH8Pd6
Source: Alexandria via LeMat-Bulk
Functional: PBE
Structure: optimized geometry

a b c (Å): 5.5227 5.5227 15.1041
angles (deg): 90.00 90.00 120.00
Space group R-3 (No. 148, hexagonal axes)
Inequivalent atoms, fractional coordinates:
Mn 0.0000 0.0000 0.0000
H 0.0000 0.0000 0.3682
H 0.0032 0.2633 0.1108
Pd 0.0022 0.4031 0.9116

ΔE to the lowest computed polymorph	1.556	kcal/mol of atoms
size of the total moment	0.305	μB per atom
density of states at the Fermi level	0.28	states/eV per atom

# 21
Compound: MnH6Pd12
Source: Alexandria via LeMat-Bulk
Functional: PBE
Structure: optimized geometry

a b c (Å): 10.7375 10.7375 6.6050
angles (deg): 90.00 90.00 120.00
Space group R-3 (No. 148, hexagonal axes)
Inequivalent atoms, fractional coordinates:
Mn 0.0000 0.0000 0.0000
H 0.0134 0.2010 0.3405
Pd 0.0166 0.1641 0.6739
Pd 0.0414 0.2672 0.0800

VASP energy	-278.22	eV/cell
size of the total moment	0.262	μB per atom
density of states at the Fermi level	0.70	states/eV per atom